Below is a relaxed GaFeBO4 crystal, with properties calculated at the PBE with a Hubbard U level.

The raw total energy comes out at -0.2535 hartree per atom. As for the total magnetic moment: 16.00 μB per cell. As for the crystal system: orthorhombic.

It has space group Cmcm (No. 63), with a = 5.607 Å, b = 8.493 Å, c = 5.688 Å, α = 90.00°, β = 90.00° and γ = 90.00°. Symmetry generates all atoms from Ga at (0.000, 0.147, 0.250), Fe at (0.000, 0.500, 0.000), B at (0.000, 0.148, 0.750), O at (0.000, 0.247, 0.539) and O at (0.213, 0.031, 0.750).